Entry 1:
ZnAg3Br2F6, optimized geometry, DFT PBE; spin magnetization = 0.01 μB/f.u.; total energy = -3.156 eV/atom; symmetry = C2/m; ΔE_f (raw) = -1123 meV/atom; DOS at the Fermi energy = 7.14 states/eV/f.u.
1.0
-3.4581 -3.9937 -1.4653
2.1375 0.4692 -6.3232
2.5331 -4.8919 4.0336
Ag Br Zn F
3 2 1 6
Direct
0.5000 0.0000 0.5000 Ag
0.5000 0.5000 0.5000 Ag
0.0000 0.5000 0.0000 Ag
0.1857 0.6915 0.3831 Br
0.8143 0.3085 0.6169 Br
0.5000 0.0000 0.0000 Zn
0.7024 0.8290 0.1632 F
0.2976 0.6658 0.8368 F
0.2976 0.1710 0.8368 F
0.7024 0.3342 0.1632 F
0.7095 0.8602 0.7205 F
0.2905 0.1398 0.2795 F

Entry 2:
VIn4Mo2, optimized geometry, DFT PBE; spin magnetization = 0.63 μB/f.u.; total energy = -5.034 eV/atom; symmetry = I4/mmm; ΔH_f (0 K) = 89.5 kJ per mole of atoms; DOS at the Fermi energy = 6.64 states/eV/f.u.
1.0
5.2515 0.0000 0.0000
0.0000 5.2515 0.0000
2.6257 2.6257 6.6978
V Mo In
1 2 4
Direct
0.0000 0.0000 0.0000 V
0.5827 0.5827 0.8345 Mo
0.4173 0.4173 0.1655 Mo
0.1993 0.1993 0.6014 In
0.5000 0.0000 0.0000 In
0.8007 0.8007 0.3986 In
0.0000 0.5000 0.0000 In

Entry 3:
PAu3, optimized geometry, DFT PBE; spin magnetization = 0.00 μB/f.u.; total energy = -3.511 eV/atom; symmetry = Cmmm; ΔH_f (0 K) = 28.9 kJ per mole of atoms; DOS at the Fermi energy = 1.83 states/eV/f.u.
1.0
5.0994 -0.0352 0.0000
-1.7430 4.7924 0.0000
0.0000 0.0000 2.8970
P Au
1 3
Direct
0.0000 0.0000 0.0000 P
0.5000 0.5000 0.0000 Au
0.5000 0.0000 0.5000 Au
0.0000 0.5000 0.5000 Au